Here is crystalline Tb4HoTe5 at its relaxed geometry from the Alexandria database. Energies are from PBE.

The structure in extended XYZ format:
```
10
Lattice="-4.8800 4.8800 3.0864 4.8800 -4.8800 3.0864 4.8800 4.8800 -3.0864" Properties=species:S:1:pos:R:3 pbc="T T T"
Tb 3.0259 0.9293 0.0000
Tb 3.9507 -1.8541 3.0864
Tb 0.9293 6.7341 0.0000
Tb 1.8541 3.9507 3.0864
Ho 0.0000 0.0000 3.0864
Te 0.0000 0.0000 0.0000
Te 5.9066 2.0147 0.0000
Te 2.0147 3.8534 0.0000
Te 2.8653 1.0266 3.0864
Te -1.0266 2.8653 3.0864
```

E_form (uncorrected) = -1.296 eV per atom
relative energy among the computed polymorphs = 0.0022 eV/atom
SG = No. 87
DOS(E_F) = 5.45 states/eV/cell



Here is crystalline TbHo5Te6 at its relaxed geometry from the Alexandria database. Energies are from PBE.

The structure in extended XYZ format:
```
12
Lattice="3.7555 -6.5267 0.0000 3.7555 6.5267 0.0000 -2.5154 0.0000 7.0740" Properties=species:S:1:pos:R:3 pbc="T T T"
Tb 0.0000 0.0000 0.0000
Ho 2.4978 4.3995 3.5370
Ho 3.7555 2.1714 0.0000
Ho 2.4978 0.0000 3.5370
Ho 3.7555 -2.1714 0.0000
Ho 2.4978 -4.3995 3.5370
Te 1.2599 2.1973 1.7840
Te 0.0136 0.0000 5.3134
Te 1.2599 -2.1973 1.7840
Te 3.7357 2.1973 5.2901
Te 4.9820 0.0000 1.7607
Te 3.7357 -2.1973 5.2901
```

E_form (uncorrected) = -1.256 eV per atom
SG = No. 12
DOS(E_F) = 5.74 states/eV/cell



Here is crystalline Tb4Ho3Te8 at its relaxed geometry from the Alexandria database. Energies are from PBE.

The structure in extended XYZ format:
```
15
Lattice="6.1331 -6.1344 0.0000 6.1331 6.1344 0.0000 -6.1316 0.0000 6.1356" Properties=species:S:1:pos:R:3 pbc="T T T"
Tb 0.0000 0.0000 0.0000
Tb -3.0658 0.0000 3.0678
Tb 3.0665 3.0672 0.0000
Tb 3.0665 -3.0672 0.0000
Ho 0.0008 3.0672 3.0678
Ho 0.0008 -3.0672 3.0678
Ho 6.1331 0.0000 0.0000
Te 6.1331 3.0549 0.0000
Te 3.0673 2.9883 3.0678
Te 3.0788 0.0000 0.0786
Te 0.0803 0.0000 3.0801
Te 6.0542 0.0000 3.0554
Te 3.0558 0.0000 6.0569
Te 3.0673 -2.9883 3.0678
Te 6.1331 -3.0549 0.0000
```

E_form (uncorrected) = -1.363 eV per atom
SG = No. 12
DOS(E_F) = 6.78 states/eV/cell



Here is crystalline Tb4Ho3Te4 at its relaxed geometry from the Alexandria database. Energies are from PBE.

The structure in extended XYZ format:
```
11
Lattice="-1.9438 4.6077 8.7776 1.9438 -4.6077 8.7776 1.9438 4.6077 -8.7776" Properties=species:S:1:pos:R:3 pbc="T T T"
Tb 1.9438 -2.9021 5.8732
Tb 0.0000 1.7056 2.9044
Tb 1.9438 2.9021 5.8732
Tb 0.0000 7.5097 2.9044
Ho 1.9438 0.0000 0.0000
Ho 0.0000 0.0000 6.9915
Ho 0.0000 0.0000 10.5636
Te 1.9438 0.0000 4.6190
Te 0.0000 2.7797 0.0000
Te 0.0000 6.4357 0.0000
Te 0.0000 4.6077 4.1585
```

E_form (uncorrected) = -0.891 eV per atom
SG = No. 71
DOS(E_F) = 11.95 states/eV/cell



Here is crystalline Tb2Ho4Te9 at its relaxed geometry from the Alexandria database. Energies are from PBE.

The structure in extended XYZ format:
```
30
Lattice="7.6788 0.0000 0.0000 -3.8394 6.6500 0.0000 0.0000 0.0000 21.0515" Properties=species:S:1:pos:R:3 pbc="T T T"
Tb 0.0000 0.0000 3.3007
Tb 0.0000 0.0000 7.2251
Tb 0.0000 0.0000 13.8264
Tb 0.0000 0.0000 17.7508
Ho 0.0000 4.4333 3.7052
Ho 0.0000 4.4333 10.3304
Ho 0.0000 4.4333 14.2310
Ho 0.0000 4.4333 20.8561
Ho 3.8394 2.2167 0.1954
Ho 3.8394 2.2167 6.8205
Ho 3.8394 2.2167 10.7211
Ho 3.8394 2.2167 17.3463
Te -1.2134 2.1017 5.2629
Te -2.6260 4.5483 15.7886
Te -1.2167 2.3605 12.2787
Te -2.4034 4.4160 1.7529
Te 2.4268 0.0000 5.2629
Te 1.2134 2.1017 15.7886
Te 1.2167 2.3605 1.7529
Te -1.1868 6.5234 12.2787
Te 2.6526 0.1266 19.2986
Te 1.4359 2.2339 8.7728
Te 2.4034 4.4160 12.2787
Te 1.1868 6.5234 1.7529
Te 5.0261 0.1266 8.7728
Te 2.6227 4.2895 19.2986
Te 5.2520 0.0000 15.7886
Te 2.6260 4.5483 5.2629
Te 6.2428 2.2339 19.2986
Te 5.0561 4.2895 8.7728
```

E_form (uncorrected) = -1.358 eV per atom
SG = No. 165



Here is crystalline Tb3Ho4Te8 at its relaxed geometry from the Alexandria database. Energies are from PBE.

The structure in extended XYZ format:
```
15
Lattice="6.1309 -6.1324 0.0000 6.1309 6.1324 0.0000 -6.1308 0.0000 6.1337" Properties=species:S:1:pos:R:3 pbc="T T T"
Tb 0.0000 0.0000 0.0000
Tb 3.0655 3.0662 0.0000
Tb 3.0655 -3.0662 0.0000
Ho -3.0654 0.0000 3.0669
Ho 0.0001 3.0662 3.0669
Ho 0.0001 -3.0662 3.0669
Ho 6.1309 0.0000 0.0000
Te 6.1309 3.0536 0.0000
Te 3.0655 3.0063 3.0669
Te 3.0778 0.0000 0.0593
Te 0.0608 0.0000 3.0794
Te 6.0702 0.0000 3.0543
Te 3.0533 0.0000 6.0744
Te 3.0655 -3.0063 3.0669
Te 6.1309 -3.0536 0.0000
```

E_form (uncorrected) = -1.357 eV per atom
SG = No. 12
DOS(E_F) = 6.75 states/eV/cell



Here is crystalline Tb5HoTe6 at its relaxed geometry from the Alexandria database. Energies are from PBE.

The structure in extended XYZ format:
```
12
Lattice="3.7761 -6.5671 0.0000 3.7761 6.5671 0.0000 -2.5331 0.0000 7.1102" Properties=species:S:1:pos:R:3 pbc="T T T"
Tb 0.0000 0.0000 0.0000
Tb 2.5095 4.3682 3.5551
Tb 3.7761 2.2237 0.0000
Tb 3.7761 -2.2237 0.0000
Tb 2.5095 -4.3682 3.5551
Ho 2.5095 0.0000 3.5551
Te 1.2639 2.1694 1.7891
Te 0.0063 0.0000 5.3327
Te 1.2639 -2.1694 1.7891
Te 3.7552 2.1694 5.3211
Te 5.0128 0.0000 1.7775
Te 3.7552 -2.1694 5.3211
```

E_form (uncorrected) = -1.300 eV per atom
SG = No. 12
DOS(E_F) = 5.63 states/eV/cell



Here is crystalline TbHo4Te5 at its relaxed geometry from the Alexandria database. Energies are from PBE.

The structure in extended XYZ format:
```
10
Lattice="-2.1514 2.1514 15.6740 2.1514 -2.1514 15.6740 2.1514 2.1514 -15.6740" Properties=species:S:1:pos:R:3 pbc="T T T"
Tb 0.0000 0.0000 0.0000
Ho 0.0000 0.0000 6.5710
Ho 0.0000 0.0000 12.7330
Ho 0.0000 0.0000 18.6151
Ho 0.0000 0.0000 24.7770
Te 0.0000 0.0000 3.2446
Te 0.0000 0.0000 9.6136
Te 0.0000 0.0000 15.6740
Te 0.0000 0.0000 21.7345
Te 0.0000 0.0000 28.1035
```

E_form (uncorrected) = -1.260 eV per atom
relative energy among the computed polymorphs = 0.0000 eV/atom
SG = No. 139
DOS(E_F) = 5.33 states/eV/cell



Short version: size of the total moment = 0.0; 0.0; 0.0; 0.1; 0.0; 0.0; 0.0; 0.0 μB/cell, in the order given.